## LiMn (GGA-PBEsol)

Data for a geometry-optimized LiMn structure.

Cell: 2.579 4.597 5.157 Å, 116.47 104.48 90.00°
Element x y z (fractional)
Mn 0.635 0.385 0.270
Mn 0.365 0.615 0.730
Li 0.874 0.124 0.749
Li 0.126 0.876 0.251

Values from the calculation:
N(E_F), states/eV per cell: 3.0
Space-group type: Imma (74)
E_form, eV per atom: 0.610
Crystal system: orthorhombic


## LiMn5 (GGA-PBEsol)

Data for a geometry-optimized LiMn5 structure.

Cell: 4.562 4.562 4.562 Å, 60.00 60.00 60.00°
Element x y z (fractional)
Mn 0.626 0.626 0.626
Mn 0.250 0.250 0.250
Mn 0.123 0.626 0.626
Mn 0.626 0.123 0.626
Mn 0.626 0.626 0.123
Li 0.000 0.000 0.000

Values from the calculation:
N(E_F), states/eV per cell: 7.3
Space-group type: F-43m (216)
E_form, eV per atom: 0.322
Crystal system: cubic


## LiMn (GGA-PBEsol)

Data for a geometry-optimized LiMn structure.

Cell: 2.406 2.406 8.903 Å, 90.00 90.00 112.37°
Element x y z (fractional)
Mn 0.250 0.750 0.606
Mn 0.750 0.250 0.394
Li 0.750 0.250 0.853
Li 0.250 0.750 0.147

Values from the calculation:
N(E_F), states/eV per cell: 3.8
Space-group type: Cmme (67)
E_form, eV per atom: 0.290
Crystal system: orthorhombic


## Li2MnMo (GGA-PBEsol)

Data for a geometry-optimized Li2MnMo structure.

Cell: 3.050 4.541 4.685 Å, 118.99 109.00 90.00°
Element x y z (fractional)
Li 0.010 0.010 0.020
Li 0.748 0.248 0.497
Mo 0.226 0.726 0.452
Mn 0.516 0.516 0.032

Values from the calculation:
N(E_F), states/eV per cell: 3.5
Space-group type: Imm2 (44)
Polymorph energy (0 for the lowest one), meV/atom: 112
E_form, eV per atom: 0.558
Crystal system: orthorhombic


## LiMnMo (GGA-PBEsol)

Data for a geometry-optimized LiMnMo structure.

Cell: 3.974 3.974 3.974 Å, 60.00 60.00 60.00°
Element x y z (fractional)
Mo 0.250 0.250 0.250
Mn 0.500 0.500 0.500
Li 0.000 0.000 0.000

Values from the calculation:
N(E_F), states/eV per cell: 3.0
Space-group type: F-43m (216)
Polymorph energy (0 for the lowest one), meV/atom: 772
E_form, eV per atom: 1.185
Crystal system: cubic


## LiMnMo (GGA-PBEsol)

Data for a geometry-optimized LiMnMo structure.

Cell: 2.566 2.566 6.870 Å, 96.86 96.86 111.14°
Element x y z (fractional)
Li 0.007 0.007 0.013
Mn 0.671 0.671 0.342
Mo 0.322 0.322 0.645

Values from the calculation:
N(E_F), states/eV per cell: 3.2
Space-group type: Fmm2 (42)
Polymorph energy (0 for the lowest one), meV/atom: 0
E_form, eV per atom: 0.412
Crystal system: orthorhombic


What did the second record say?
## LiMn5 (GGA-PBEsol)

Data for a geometry-optimized LiMn5 structure.

Cell: 4.562 4.562 4.562 Å, 60.00 60.00 60.00°
Element x y z (fractional)
Mn 0.626 0.626 0.626
Mn 0.250 0.250 0.250
Mn 0.123 0.626 0.626
Mn 0.626 0.123 0.626
Mn 0.626 0.626 0.123
Li 0.000 0.000 0.000

Values from the calculation:
N(E_F), states/eV per cell: 7.3
Space-group type: F-43m (216)
E_form, eV per atom: 0.322
Crystal system: cubic


Question: What is the E_form in the third record?
Answer: 0.290 eV per atom


Question: What is the E_form in the first record?
Answer: 0.610 eV per atom